# 1
Material: Cd2InAs
Method: DFT, meta-GGA SCAN
State: PBEsol geometry

Computed properties:
D(E_F) = 0.344 states/eV per atom
Calculated formation energy = 152 meV per atom
Energy relative to the lowest polymorph listed for this composition = 0.014 eV per formula unit
Magnetic moment = 0.00 μB per formula unit

abc: 4.5220 4.5220 5.3089
angles: 115.21 115.21 90.00
Positions (direct):
As 0.0000 0.0000 0.0000
Cd 0.7500 0.2500 0.5000
Cd 0.2500 0.7500 0.5000
In 0.5000 0.5000 0.0000

# 2
Material: Cd2InAs
Method: DFT, meta-GGA SCAN
State: PBEsol geometry

Computed properties:
D(E_F) = 0.390 states/eV per atom
Calculated formation energy = 148 meV per atom
Energy relative to the lowest polymorph listed for this composition = 0.000 eV per formula unit
Magnetic moment = 0.00 μB per formula unit

abc: 3.2218 3.2218 8.3577
angles: 90.00 90.00 90.15
Positions (direct):
As 0.5000 0.5000 0.2395
Cd 0.0000 0.0000 0.0081
Cd 0.5000 0.5000 0.7628
In 0.0000 0.0000 0.4897

# 3
Material: Cd2InAs
Method: DFT, meta-GGA SCAN
State: PBEsol geometry

Computed properties:
D(E_F) = 0.386 states/eV per atom
Calculated formation energy = 185 meV per atom
Energy relative to the lowest polymorph listed for this composition = 0.146 eV per formula unit
Magnetic moment = 0.00 μB per formula unit

abc: 5.0164 5.0164 5.0164
angles: 60.00 60.00 60.00
Positions (direct):
Cd 0.0000 0.0000 0.0000
Cd 0.2500 0.2500 0.2500
In 0.7500 0.7500 0.7500
As 0.5000 0.5000 0.5000

# 4
Material: Cd2InAs
Method: DFT, meta-GGA SCAN
State: PBEsol geometry

Computed properties:
D(E_F) = 0.423 states/eV per atom
Calculated formation energy = 158 meV per atom
Energy relative to the lowest polymorph listed for this composition = 0.040 eV per formula unit
Magnetic moment = 0.00 μB per formula unit

abc: 3.2564 3.2564 8.3462
angles: 90.00 90.00 98.24
Positions (direct):
As 0.5000 0.5000 0.0000
Cd 0.0000 0.0000 0.2340
Cd 0.0000 0.0000 0.7660
In 0.5000 0.5000 0.5000

# 5
Material: MnCdIn2As
Method: DFT, meta-GGA SCAN
State: PBEsol geometry

Computed properties:
D(E_F) = 0.198 states/eV per atom
Calculated formation energy = 178 meV per atom
Magnetic moment = 0.00 μB per formula unit

abc: 4.3697 5.0702 5.0702
angles: 90.00 90.00 90.00
Positions (direct):
As 0.5000 0.0000 0.0000
In 0.0000 0.0000 0.5000
In 0.0000 0.5000 0.0000
Cd 0.5000 0.5000 0.5000
Mn 0.0000 0.0000 0.0000

# 6
Material: Cd3AsIr
Method: DFT, meta-GGA SCAN
State: PBEsol geometry

Computed properties:
D(E_F) = 0.629 states/eV per atom
Calculated formation energy = 1116 meV per atom
Energy relative to the lowest polymorph listed for this composition = 2.018 eV per formula unit
Magnetic moment = 0.19 μB per formula unit

abc: 4.9188 4.9188 4.9188
angles: 90.00 90.00 90.00
Positions (direct):
As 0.0000 0.0000 0.0000
Cd 0.5000 0.0000 0.0000
Cd 0.0000 0.5000 0.0000
Cd 0.0000 0.0000 0.5000
Ir 0.5000 0.5000 0.5000

# 7
Material: CdAs2Ir
Method: DFT, meta-GGA SCAN
State: PBEsol geometry

Computed properties:
D(E_F) = 0.464 states/eV per atom
Calculated formation energy = 192 meV per atom
Magnetic moment = 0.00 μB per formula unit

abc: 2.9572 3.9051 6.1115
angles: 90.00 90.00 90.00
Positions (direct):
As 0.0000 0.0000 0.9525
As 0.5000 0.5000 0.2375
Cd 0.0000 0.0000 0.5008
Ir 0.5000 0.5000 0.8092

# 8
Material: Cd3AsIr
Method: DFT, meta-GGA SCAN
State: PBEsol geometry

Computed properties:
D(E_F) = 0.957 states/eV per atom
Calculated formation energy = 712 meV per atom
Energy relative to the lowest polymorph listed for this composition = 0.000 eV per formula unit
Magnetic moment = 0.01 μB per formula unit

abc: 5.0494 5.0494 5.0494
angles: 90.00 90.00 90.00
Positions (direct):
Cd 0.0000 0.0000 0.5000
Cd 0.0000 0.5000 0.0000
Cd 0.5000 0.0000 0.0000
Ir 0.0000 0.0000 0.0000
As 0.5000 0.5000 0.5000

# 9
Material: LaCdAs2
Method: DFT, meta-GGA SCAN
State: PBEsol geometry

Computed properties:
D(E_F) = 0.674 states/eV per atom
Calculated formation energy = -344 meV per atom
Magnetic moment = 0.00 μB per formula unit

abc: 5.0595 5.0595 5.0595
angles: 60.00 60.00 60.00
Positions (direct):
As 0.2500 0.2500 0.2500
As 0.0000 0.0000 0.0000
Cd 0.5000 0.5000 0.5000
La 0.7500 0.7500 0.7500

# 10
Material: LaCdAs2
Method: DFT, meta-GGA SCAN
State: PBEsol geometry

Computed properties:
D(E_F) = 0.523 states/eV per atom
Calculated formation energy = -551 meV per atom
Magnetic moment = 0.00 μB per formula unit

abc: 3.7194 3.7194 7.0863
angles: 90.00 90.00 105.26
Positions (direct):
Cd 0.5000 0.5000 0.5000
As 0.0000 0.0000 0.7382
As 0.0000 0.0000 0.2618
La 0.5000 0.5000 0.0000

# 11
Material: LaCdAs2
Method: DFT, meta-GGA SCAN
State: PBEsol geometry

Computed properties:
D(E_F) = 0.567 states/eV per atom
Calculated formation energy = -732 meV per atom
Magnetic moment = 0.00 μB per formula unit

abc: 4.0839 4.0692 6.1279
angles: 90.05 90.00 90.00
Positions (direct):
As 0.0000 0.0008 0.2090
As 0.0000 0.9992 0.7910
Cd 0.5000 0.0000 0.5000
La 0.5000 0.5000 0.0000

# 12
Material: LaCd2As
Method: DFT, meta-GGA SCAN
State: PBEsol geometry

Computed properties:
D(E_F) = 0.331 states/eV per atom
Calculated formation energy = -506 meV per atom
Magnetic moment = 0.00 μB per formula unit

abc: 3.9039 3.9039 6.5330
angles: 90.00 90.00 90.00
Positions (direct):
Cd 0.5000 0.5000 0.1862
Cd 0.0000 0.0000 0.0339
As 0.5000 0.5000 0.7361
La 0.0000 0.0000 0.5438

# 13
Material: LaCd2As
Method: DFT, meta-GGA SCAN
State: PBEsol geometry

Computed properties:
D(E_F) = 0.332 states/eV per atom
Calculated formation energy = -654 meV per atom
Magnetic moment = 0.00 μB per formula unit

abc: 4.2925 4.2925 5.1847
angles: 90.00 90.00 90.00
Positions (direct):
La 0.5000 0.5000 0.5000
As 0.0000 0.0000 0.5000
Cd 0.5000 0.0000 0.0000
Cd 0.0000 0.5000 0.0000

# 14
Material: La2CdAs
Method: DFT, meta-GGA SCAN
State: PBEsol geometry

Computed properties:
D(E_F) = 0.537 states/eV per atom
Calculated formation energy = -782 meV per atom
Magnetic moment = 0.00 μB per formula unit

abc: 4.0073 4.8676 6.1913
angles: 113.15 108.88 90.00
Positions (direct):
As 0.5147 0.5147 0.0293
Cd 0.2152 0.7152 0.4304
La 0.9981 0.9981 0.9963
La 0.7720 0.2720 0.5440

# 15
Material: LaCdAs3
Method: DFT, meta-GGA SCAN
State: PBEsol geometry

Computed properties:
D(E_F) = 0.645 states/eV per atom
Calculated formation energy = -53 meV per atom
Magnetic moment = 0.00 μB per formula unit

abc: 5.0411 5.0411 5.0411
angles: 90.00 90.00 90.00
Positions (direct):
As 0.0000 0.5000 0.0000
As 0.0000 0.0000 0.5000
As 0.5000 0.0000 0.0000
Cd 0.0000 0.0000 0.0000
La 0.5000 0.5000 0.5000

# 16
Material: LaCd2AsSe
Method: DFT, meta-GGA SCAN
State: PBEsol geometry

Computed properties:
D(E_F) = 0.496 states/eV per atom
Formation energy without anion corrections = -0.46 eV per atom
Magnetic moment = 0.00 μB per formula unit

abc: 4.9850 4.9850 5.8606
angles: 90.00 90.00 90.00
Positions (direct):
Cd 0.5000 0.0000 0.0000
Cd 0.0000 0.5000 0.0000
As 0.0000 0.0000 0.0000
La 0.0000 0.0000 0.5000
Se 0.5000 0.5000 0.5000

# 17
Material: LiCd2As
Method: DFT, meta-GGA SCAN
State: PBEsol geometry

Computed properties:
D(E_F) = 0.229 states/eV per atom
Calculated formation energy = -199 meV per atom
Magnetic moment = 0.00 μB per formula unit

abc: 4.1633 4.1633 5.2668
angles: 113.28 113.28 90.00
Positions (direct):
Li 0.5000 0.5000 0.0000
As 0.0000 0.0000 0.0000
Cd 0.2500 0.7500 0.5000
Cd 0.7500 0.2500 0.5000

# 18
Material: LiCd2As
Method: DFT, meta-GGA SCAN
State: PBEsol geometry

Computed properties:
D(E_F) = 0.290 states/eV per atom
Calculated formation energy = -172 meV per atom
Magnetic moment = 0.00 μB per formula unit

abc: 2.9491 4.0680 6.3203
angles: 90.00 90.00 90.00
Positions (direct):
As 0.5000 0.5000 0.7077
Cd 0.0000 0.0000 0.0051
Cd 0.5000 0.5000 0.2613
Li 0.0000 0.0000 0.5259

# 19
Material: Li2CdAs
Method: DFT, meta-GGA SCAN
State: PBEsol geometry

Computed properties:
D(E_F) = 0.340 states/eV per atom
Calculated formation energy = -425 meV per atom
Magnetic moment = 0.00 μB per formula unit

abc: 2.8557 3.8401 6.0653
angles: 90.00 90.00 90.00
Positions (direct):
Li 0.0000 0.0000 0.2180
Li 0.0000 0.0000 0.7820
As 0.5000 0.5000 0.0000
Cd 0.5000 0.5000 0.5000

# 20
Material: LiCdAs2
Method: DFT, meta-GGA SCAN
State: PBEsol geometry

Computed properties:
D(E_F) = 0.301 states/eV per atom
Calculated formation energy = -28 meV per atom
Magnetic moment = 0.00 μB per formula unit

abc: 3.6467 3.6467 5.6362
angles: 90.00 90.00 90.00
Positions (direct):
Cd 0.0000 0.0000 0.5084
As 0.5000 0.5000 0.2230
As 0.0000 0.0000 0.0112
Li 0.5000 0.5000 0.7574